This record from OQMD describes a relaxed structure of Pr2Ga3Hg3. The functional is GGA-PBE.

Computed properties:
total energy	-22.95	eV for the cell shown
relative energy among the computed polymorphs	0.02	eV per formula unit

```
Pr2Ga3Hg3
1.0
6.5827 0.0000 0.0000
0.0000 4.8590 0.0000
-3.1693 0.0000 5.8975
Pr Ga Hg
2 3 3
direct
0.0000 0.0000 0.0000
0.3334 0.5000 0.6808
0.5163 0.0000 0.0306
0.8342 0.5000 0.6562
0.9801 0.0000 0.5018
0.3539 0.5000 0.1818
0.5202 0.0000 0.5042
0.8297 0.5000 0.1902
```